No. 1
## TbZnH (PBE)

Data for crystalline TbZnH at its relaxed geometry.

a b c (Å): 3.8015 3.8015 4.3471
angles (deg): 90.00 90.00 120.00
Space group P-6m2 (No. 187)
Symmetry-distinct sites (fractional):
Tb 0.0000 0.0000 0.0000 x1
Zn 0.3333 0.6667 0.5000 x1
H 0.6667 0.3333 0.0000 x1

Output
density: 6.9 Mg/m³
Fermi-level density of states: 2.1 states/eV/f.u.
polymorph energy (0 for the lowest one): 0.43 eV/f.u.

No. 2
## Pr4In2Ni (PBE)

Data for crystalline Pr4In2Ni at its relaxed geometry.

a b c (Å): 5.245 5.245 16.470
angles (deg): 90.00 90.00 90.00
Space group I4/mmm (No. 139)
Symmetry-distinct sites (fractional):
Pr 0.000 0.000 0.180 x4
Pr 0.000 0.500 0.000 x4
In 0.000 0.000 0.371 x4
Ni 0.000 0.000 0.000 x2

Output
density: 6.2 Mg/m³
formation enthalpy at 0 K: -0.194 eV/atom
Fermi-level density of states: 6.5 states/eV/f.u.